DFT (GGA-PBE) results for a relaxed Li2HfTaAg crystal. Values from VASP.

Geometry as Quantum ESPRESSO input:
```
&SYSTEM
  ibrav = 0, nat = 5, ntyp = 4
/
ATOMIC_SPECIES
Li 6.94 Li.upf
Hf 178.49 Hf.upf
Ag 107.87 Ag.upf
Ta 180.95 Ta.upf
CELL_PARAMETERS angstrom
4.619 0.000 0.000
0.000 5.002 0.000
0.000 0.000 4.619
ATOMIC_POSITIONS crystal
Li 0.000 0.000 0.500
Li 0.500 0.000 0.000
Hf 0.500 0.500 0.500
Ag 0.000 0.500 0.000
Ta 0.000 0.000 0.000
```

Results
Crystal system ... tetragonal
Calculated formation energy ... 1538 meV/atom
Space-group type ... P4/mmm

***

DFT (GGA-PBE) results for a relaxed BePtSe crystal. Values from VASP.

Geometry as Quantum ESPRESSO input:
```
&SYSTEM
  ibrav = 0, nat = 6, ntyp = 3
/
ATOMIC_SPECIES
Be 9.01 Be.upf
Pt 195.08 Pt.upf
Se 78.96 Se.upf
CELL_PARAMETERS angstrom
-7.021 -0.940 2.664
-0.306 -0.657 3.733
3.184 4.528 -0.806
ATOMIC_POSITIONS crystal
Be 0.899 0.035 0.907
Be 0.554 0.707 0.143
Pt 0.761 0.053 0.169
Pt 0.531 0.536 0.702
Se 0.316 0.027 0.288
Se 0.978 0.580 0.590
```

Results
Crystal system ... triclinic
Formation energy without anion corrections ... -1.117 eV/f.u.
Space-group type ... P1

***

DFT (GGA-PBE) results for a relaxed MgTe2Pt crystal. Values from VASP.

Geometry as Quantum ESPRESSO input:
```
&SYSTEM
  ibrav = 0, nat = 4, ntyp = 3
/
ATOMIC_SPECIES
Mg 24.30 Mg.upf
Pt 195.08 Pt.upf
Te 127.60 Te.upf
CELL_PARAMETERS angstrom
4.818 0.000 0.000
0.000 4.657 0.013
0.000 1.433 4.434
ATOMIC_POSITIONS crystal
Mg 0.000 0.530 0.529
Pt 0.500 0.737 0.737
Te 0.000 0.909 0.908
Te 0.500 0.324 0.325
```

Results
Crystal system ... orthorhombic
Formation energy without anion corrections ... -1.687 eV/f.u.
Space-group type ... Amm2

***

We obtain mass density values of 7.5, 8.9, 7.9 g/cm3 for the records listed above, in that order.
We obtain E_tot values of -4.159, -4.790, -3.901 eV/atom for the records listed above, in that order.